[1]
The following is a PBE calculation of crystalline Rb3ScRe at its relaxed geometry, from Alexandria.

Unit cell a=6.6315 b=6.6315 c=6.6315 alpha=90.00 beta=90.00 gamma=90.00
Last column: nearest neighbours and their distance in Å.
Sites, in units of the cell vectors:
Rb1 0.0000 0.0000 0.5000  2 Re 3.32
Rb2 0.0000 0.5000 0.0000  2 Re 3.32
Rb3 0.5000 0.0000 0.0000  2 Re 3.32
Sc1 0.5000 0.5000 0.5000  12 Rb 4.69
Re1 0.0000 0.0000 0.0000  6 Rb 3.32

Total DFT energy (no corrections) (eV for the cell shown): -12.43
N(E_F) (states/eV per cell): 8.34
Theoretical density (g/cm³): 2.8
Size of the total moment (μB per cell): 1.00

---

[2]
The following is a PBE calculation of crystalline RbSc2Re at its relaxed geometry, from Alexandria.

Unit cell a=7.0805 b=7.0805 c=7.0805 alpha=90.00 beta=90.00 gamma=90.00
Last column: nearest neighbours and their distance in Å.
Sites, in units of the cell vectors:
Rb1 0.0000 0.0000 0.0000  8 Sc 3.07
Rb2 0.0000 0.5000 0.5000  8 Sc 3.07
Rb3 0.5000 0.0000 0.5000  8 Sc 3.07
Rb4 0.5000 0.5000 0.0000  8 Sc 3.07
Sc1 0.2500 0.2500 0.2500  4 Re 3.07, 4 Rb 3.07
Sc2 0.2500 0.2500 0.7500  4 Re 3.07, 4 Rb 3.07
Sc3 0.2500 0.7500 0.2500  4 Re 3.07, 4 Rb 3.07
Sc4 0.2500 0.7500 0.7500  4 Re 3.07, 4 Rb 3.07
Sc5 0.7500 0.2500 0.2500  4 Re 3.07, 4 Rb 3.07
Sc6 0.7500 0.2500 0.7500  4 Re 3.07, 4 Rb 3.07
Sc7 0.7500 0.7500 0.2500  4 Re 3.07, 4 Rb 3.07
Sc8 0.7500 0.7500 0.7500  4 Re 3.07, 4 Rb 3.07
Re1 0.0000 0.0000 0.5000  8 Sc 3.07
Re2 0.0000 0.5000 0.0000  8 Sc 3.07
Re3 0.5000 0.0000 0.0000  8 Sc 3.07
Re4 0.5000 0.5000 0.5000  8 Sc 3.07

Total DFT energy (no corrections) (eV for the cell shown): -89.50
N(E_F) (states/eV per cell): 5.76
Theoretical density (g/cm³): 6.8
Size of the total moment (μB per cell): 0.00

---

[3]
The following is a PBE calculation of crystalline RbSc3Re at its relaxed geometry, from Alexandria.

Unit cell a=4.8365 b=4.8365 c=4.8365 alpha=90.00 beta=90.00 gamma=90.00
Last column: nearest neighbours and their distance in Å.
Sites, in units of the cell vectors:
Rb1 0.0000 0.0000 0.0000  6 Sc 2.42
Sc1 0.0000 0.0000 0.5000  2 Rb 2.42
Sc2 0.0000 0.5000 0.0000  2 Rb 2.42
Sc3 0.5000 0.0000 0.0000  2 Rb 2.42
Re1 0.5000 0.5000 0.5000  12 Sc 3.42

Total DFT energy (no corrections) (eV for the cell shown): -22.17
N(E_F) (states/eV per cell): 4.16
Theoretical density (g/cm³): 6.0
Size of the total moment (μB per cell): 1.59

---

[4]
The following is a PBE calculation of crystalline RbScTl2Re at its relaxed geometry, from Alexandria.

Unit cell a=5.5220 b=5.5220 c=4.9940 alpha=90.00 beta=90.00 gamma=90.00
Last column: nearest neighbours and their distance in Å.
Sites, in units of the cell vectors:
Rb1 0.0000 0.0000 0.0000  8 Tl 3.72, 4 Sc 3.90
Sc1 0.5000 0.5000 0.0000  2 Re 2.50
Tl1 0.0000 0.5000 0.5000  2 Re 2.76
Tl2 0.5000 0.0000 0.5000  2 Re 2.76
Re1 0.5000 0.5000 0.5000  2 Sc 2.50, 4 Tl 2.76

Total DFT energy (no corrections) (eV for the cell shown): -22.91
N(E_F) (states/eV per cell): 3.11
Theoretical density (g/cm³): 7.9
Size of the total moment (μB per cell): 0.00

---

[5]
The following is a PBE calculation of crystalline RbYScRe2 at its relaxed geometry, from Alexandria.

Unit cell a=4.8958 b=4.8958 c=5.5890 alpha=90.00 beta=90.00 gamma=90.00
Last column: nearest neighbours and their distance in Å.
Sites, in units of the cell vectors:
Rb1 0.0000 0.0000 0.0000  4 Y 3.46, 8 Re 3.72
Y1 0.5000 0.5000 0.0000  2 Sc 2.79
Sc1 0.5000 0.5000 0.5000  4 Re 2.45
Re1 0.0000 0.5000 0.5000  2 Sc 2.45
Re2 0.5000 0.0000 0.5000  2 Sc 2.45

Total DFT energy (no corrections) (eV for the cell shown): -29.36
N(E_F) (states/eV per cell): 7.90
Theoretical density (g/cm³): 7.3
Size of the total moment (μB per cell): 2.03

---

[6]
The following is a PBE calculation of crystalline RbZr2ScRe at its relaxed geometry, from Alexandria.

Unit cell a=4.9722 b=4.9722 c=4.6781 alpha=90.00 beta=90.00 gamma=90.00
Last column: nearest neighbours and their distance in Å.
Sites, in units of the cell vectors:
Rb1 0.0000 0.0000 0.0000  2 Sc 2.34, 4 Zr 2.49
Zr1 0.0000 0.5000 0.0000  2 Rb 2.49
Zr2 0.5000 0.0000 0.0000  2 Rb 2.49
Sc1 0.0000 0.0000 0.5000  2 Rb 2.34
Re1 0.5000 0.5000 0.5000  8 Zr 3.41, 4 Sc 3.52

Total DFT energy (no corrections) (eV for the cell shown): -25.09
N(E_F) (states/eV per cell): 4.83
Theoretical density (g/cm³): 7.2
Size of the total moment (μB per cell): 0.87

---

[7]
The following is a PBE calculation of crystalline Rb2ReSe4 at its relaxed geometry, from Alexandria.

Unit cell a=4.9452 b=4.9452 c=17.6163 alpha=90.00 beta=90.00 gamma=90.00
Last column: nearest neighbours and their distance in Å.
Sites, in units of the cell vectors:
Rb1 0.0000 0.0000 0.1537  9 Se 3.50-3.67
Rb2 0.0000 0.0000 0.8463  9 Se 3.50-3.67
Rb3 0.5000 0.5000 0.3463  9 Se 3.50-3.67
Rb4 0.5000 0.5000 0.6537  9 Se 3.50-3.67
Re1 0.0000 0.0000 0.5000  6 Se 2.47-2.57
Re2 0.5000 0.5000 0.0000  6 Se 2.47-2.57
Se1 0.0000 0.0000 0.3544  1 Re 2.57
Se2 0.0000 0.0000 0.6456  1 Re 2.57
Se3 0.0000 0.5000 0.0000  2 Re 2.47
Se4 0.0000 0.5000 0.5000  2 Re 2.47
Se5 0.5000 0.0000 0.0000  2 Re 2.47
Se6 0.5000 0.0000 0.5000  2 Re 2.47
Se7 0.5000 0.5000 0.1456  1 Re 2.57
Se8 0.5000 0.5000 0.8544  1 Re 2.57

Total DFT energy (no corrections) (eV for the cell shown): -61.49
N(E_F) (states/eV per cell): 10.03
Theoretical density (g/cm³): 5.2
Uncorrected formation energy (eV/atom): -0.346
Size of the total moment (μB per cell): 1.05

---

[8]
The following is a PBE calculation of crystalline RbReSe3 at its relaxed geometry, from Alexandria.

Unit cell a=5.4092 b=5.4092 c=5.4092 alpha=90.00 beta=90.00 gamma=90.00
Last column: nearest neighbours and their distance in Å.
Sites, in units of the cell vectors:
Rb1 0.0000 0.0000 0.0000  6 Se 2.70
Re1 0.5000 0.5000 0.5000  12 Se 3.82
Se1 0.0000 0.0000 0.5000  2 Rb 2.70
Se2 0.0000 0.5000 0.0000  2 Rb 2.70
Se3 0.5000 0.0000 0.0000  2 Rb 2.70

Total DFT energy (no corrections) (eV for the cell shown): -10.92
N(E_F) (states/eV per cell): 13.38
Theoretical density (g/cm³): 5.3
Uncorrected formation energy (eV/atom): 2.589
Size of the total moment (μB per cell): 0.00

---

[9]
The following is a PBE calculation of crystalline RbReSe3 at its relaxed geometry, from Alexandria.

Unit cell a=5.0345 b=5.0345 c=5.0345 alpha=90.00 beta=90.00 gamma=90.00
Last column: nearest neighbours and their distance in Å.
Sites, in units of the cell vectors:
Rb1 0.0000 0.0000 0.0000  12 Se 3.56
Re1 0.5000 0.5000 0.5000  6 Se 2.52
Se1 0.0000 0.5000 0.5000  2 Re 2.52
Se2 0.5000 0.0000 0.5000  2 Re 2.52
Se3 0.5000 0.5000 0.0000  2 Re 2.52

Total DFT energy (no corrections) (eV for the cell shown): -24.35
N(E_F) (states/eV per cell): 5.32
Theoretical density (g/cm³): 6.6
Uncorrected formation energy (eV/atom): -0.096
Size of the total moment (μB per cell): 0.00

---

[10]
The following is a PBE calculation of crystalline RbRe4Se7 at its relaxed geometry, from Alexandria.

Unit cell a=4.7028 b=8.0852 c=15.0532 alpha=90.00 beta=90.00 gamma=90.00
Last column: nearest neighbours and their distance in Å.
Sites, in units of the cell vectors:
Rb1 0.0000 0.2156 0.0000  10 Se 3.37-3.67
Rb2 0.5000 0.7844 0.5000  10 Se 3.37-3.67
Re1 0.0000 0.2520 0.6437  5 Se 2.45-2.62
Re2 0.0000 0.2537 0.3562  5 Se 2.44-2.62
Re3 0.0000 0.7728 0.7616  2 Se 2.35-2.37
Re4 0.0000 0.7745 0.2384  2 Se 2.35-2.37
Re5 0.5000 0.2255 0.7384  2 Se 2.35-2.37
Re6 0.5000 0.2272 0.2616  2 Se 2.35-2.37
Re7 0.5000 0.7463 0.8562  5 Se 2.44-2.62
Re8 0.5000 0.7480 0.1437  5 Se 2.45-2.62
Se1 0.0000 0.1005 0.7843  4 Re 2.45-2.67
Se2 0.0000 0.1023 0.2157  4 Re 2.44-2.67
Se3 0.0000 0.1051 0.4997  2 Re 2.47
Se4 0.0000 0.5752 0.6452  2 Re 2.37-2.61
Se5 0.0000 0.5768 0.3547  2 Re 2.37-2.61
Se6 0.0000 0.6243 0.8959  3 Re 2.35-2.62
Se7 0.0000 0.6258 0.1042  3 Re 2.35-2.62
Se8 0.5000 0.3742 0.6042  3 Re 2.35-2.62
Se9 0.5000 0.3757 0.3959  3 Re 2.35-2.62
Se10 0.5000 0.4232 0.8547  2 Re 2.37-2.61
Se11 0.5000 0.4248 0.1452  2 Re 2.37-2.61
Se12 0.5000 0.8949 0.9997  2 Re 2.47
Se13 0.5000 0.8977 0.7157  4 Re 2.44-2.67
Se14 0.5000 0.8995 0.2843  4 Re 2.45-2.67

Total DFT energy (no corrections) (eV for the cell shown): -149.10
N(E_F) (states/eV per cell): 14.31
Theoretical density (g/cm³): 8.0
Uncorrected formation energy (eV/atom): 0.050
Size of the total moment (μB per cell): 0.00

---

[11]
The following is a PBE calculation of crystalline RbRe3Se at its relaxed geometry, from Alexandria.

Unit cell a=4.7536 b=4.7536 c=4.7536 alpha=90.00 beta=90.00 gamma=90.00
Last column: nearest neighbours and their distance in Å.
Sites, in units of the cell vectors:
Rb1 0.0000 0.0000 0.0000  12 Re 3.36
Re1 0.0000 0.5000 0.5000  2 Se 2.38
Re2 0.5000 0.0000 0.5000  2 Se 2.38
Re3 0.5000 0.5000 0.0000  2 Se 2.38
Se1 0.5000 0.5000 0.5000  6 Re 2.38

Total DFT energy (no corrections) (eV for the cell shown): -31.24
N(E_F) (states/eV per cell): 4.84
Theoretical density (g/cm³): 11.2
Uncorrected formation energy (eV/atom): 2.111
Size of the total moment (μB per cell): 2.99

---

[12]
The following is a PBE calculation of crystalline RbReSe3 at its relaxed geometry, from Alexandria.

Unit cell a=9.3801 b=6.5055 c=9.1988 alpha=90.00 beta=99.67 gamma=90.00
Last column: nearest neighbours and their distance in Å.
Sites, in units of the cell vectors:
Rb1 0.1155 0.1398 0.2111  8 Se 3.37-3.73
Rb2 0.1155 0.3602 0.7111  8 Se 3.37-3.73
Rb3 0.8845 0.6398 0.2889  8 Se 3.37-3.73
Rb4 0.8845 0.8602 0.7889  8 Se 3.37-3.73
Re1 0.4266 0.7410 0.5939  5 Se 2.41-2.51
Re2 0.4266 0.7590 0.0939  5 Se 2.41-2.51
Re3 0.5734 0.2410 0.9061  5 Se 2.41-2.51
Re4 0.5734 0.2590 0.4061  5 Se 2.41-2.51
Se1 0.1777 0.6529 0.0614  1 Re 2.41
Se2 0.1777 0.8471 0.5614  1 Re 2.41
Se3 0.3430 0.0849 0.9597  2 Re 2.51
Se4 0.3430 0.4151 0.4597  2 Re 2.51
Se5 0.4604 0.5808 0.8376  3 Re 2.44-2.69
Se6 0.4604 0.9192 0.3376  3 Re 2.44-2.69
Se7 0.5396 0.0808 0.6624  3 Re 2.44-2.69
Se8 0.5396 0.4192 0.1624  3 Re 2.44-2.69
Se9 0.6570 0.5849 0.5403  2 Re 2.51
Se10 0.6570 0.9151 0.0403  2 Re 2.51
Se11 0.8223 0.1529 0.4386  1 Re 2.41
Se12 0.8223 0.3471 0.9386  1 Re 2.41

Total DFT energy (no corrections) (eV for the cell shown): -102.69
N(E_F) (states/eV per cell): 13.55
Theoretical density (g/cm³): 6.1
Uncorrected formation energy (eV/atom): -0.361
Size of the total moment (μB per cell): 0.00

---

Repeat the second record exactly.
The following is a PBE calculation of crystalline RbSc2Re at its relaxed geometry, from Alexandria.

Unit cell a=7.0805 b=7.0805 c=7.0805 alpha=90.00 beta=90.00 gamma=90.00
Last column: nearest neighbours and their distance in Å.
Sites, in units of the cell vectors:
Rb1 0.0000 0.0000 0.0000  8 Sc 3.07
Rb2 0.0000 0.5000 0.5000  8 Sc 3.07
Rb3 0.5000 0.0000 0.5000  8 Sc 3.07
Rb4 0.5000 0.5000 0.0000  8 Sc 3.07
Sc1 0.2500 0.2500 0.2500  4 Re 3.07, 4 Rb 3.07
Sc2 0.2500 0.2500 0.7500  4 Re 3.07, 4 Rb 3.07
Sc3 0.2500 0.7500 0.2500  4 Re 3.07, 4 Rb 3.07
Sc4 0.2500 0.7500 0.7500  4 Re 3.07, 4 Rb 3.07
Sc5 0.7500 0.2500 0.2500  4 Re 3.07, 4 Rb 3.07
Sc6 0.7500 0.2500 0.7500  4 Re 3.07, 4 Rb 3.07
Sc7 0.7500 0.7500 0.2500  4 Re 3.07, 4 Rb 3.07
Sc8 0.7500 0.7500 0.7500  4 Re 3.07, 4 Rb 3.07
Re1 0.0000 0.0000 0.5000  8 Sc 3.07
Re2 0.0000 0.5000 0.0000  8 Sc 3.07
Re3 0.5000 0.0000 0.0000  8 Sc 3.07
Re4 0.5000 0.5000 0.5000  8 Sc 3.07

Total DFT energy (no corrections) (eV for the cell shown): -89.50
N(E_F) (states/eV per cell): 5.76
Theoretical density (g/cm³): 6.8
Size of the total moment (μB per cell): 0.00